Entry from the Alexandria database: a relaxed Ta2ZnRe crystal (GGA-PBE).

The structure in POSCAR format:
```
Ta2ZnRe
1.0
5.603 0.000 0.000
0.000 8.815 0.000
-0.730 0.000 2.654
Ta Zn Re
4 2 2
Cartesian
1.401 2.204 0.000
1.401 6.611 0.000
4.202 2.204 0.000
4.202 6.611 0.000
-0.365 0.000 1.327
2.436 4.407 1.327
-0.365 4.407 1.327
2.436 0.000 1.327
```

- N(E_F): 0.613 states/eV per atom
- E_tot: -0.6866 Ry per atom
- Energy of formation: 0.015 eV per atom